# Ba4Ga2H (PBE-GGA, relaxed)
# Relative energy among the computed polymorphs   25.7 meV/atom
# Crystal system   monoclinic
data_Ba4Ga2H
_space_group_name_H-M_alt 'P 1 21/m 1'
_space_group_IT_number 11
_cell_length_a 8.031
_cell_length_b 8.258
_cell_length_c 8.312
_cell_angle_alpha 90.00
_cell_angle_beta 103.20
_cell_angle_gamma 90.00
loop_
_space_group_symop_operation_xyz
'x,y,z'
'-x,-y,-z'
'-x,y+1/2,-z'
'x,-y+1/2,z'
loop_
_atom_site_label
_atom_site_fract_x
_atom_site_fract_y
_atom_site_fract_z
Ba1 0.019 0.026 0.262
Ba2 0.390 0.750 0.083
Ba3 0.468 0.750 0.633
Ga1 0.220 0.250 0.981
Ga2 0.242 0.250 0.637
H1 0.210 0.750 0.780

***

# BaGa3H12 (PBE-GGA, relaxed)
# VASP energy   -3.106 eV/atom
# Crystal system   trigonal
data_BaGa3H12
_space_group_name_H-M_alt 'R 3 c'
_space_group_IT_number 161
_space_group_name_Hall 'R 3 -2"c'
_cell_length_a 7.9783
_cell_length_b 7.9783
_cell_length_c 25.5634
_cell_angle_alpha 90.00
_cell_angle_beta 90.00
_cell_angle_gamma 120.00
loop_
_atom_site_label
_atom_site_fract_x
_atom_site_fract_y
_atom_site_fract_z
Ba1 0.0000 0.0000 0.0000
Ga1 0.0823 0.3630 0.2909
H1 0.0496 0.2682 0.7918
H2 0.0625 0.2353 0.5748
H3 0.0650 0.4725 0.3415
H4 0.1706 0.3711 0.9536